Arrangement a

DFT (GGA-PBE) results for CeTh2Si after structural relaxation.

Properties
calculated volume = 383.9 Å³ per cell
total moment = 4.62 μB per cell

Cell: 3.7892 3.7892 30.8718 Å, 90.00 90.00 120.00°
Space group R-3m (No. 166, hexagonal axes)
Unique sites:
Ce (0.0000, 0.0000, 0.0000) [3 per cell]
Th (0.0000, 0.0000, 0.1071) [6 per cell]
Si (0.0000, 0.0000, 0.5000) [3 per cell]



Arrangement b

DFT (GGA-PBE) results for CeTh2Si after structural relaxation.

Properties
calculated volume = 104.4 Å³ per cell
total moment = 0.00 μB per cell

Cell: 4.7873 4.7873 4.5544 Å, 90.00 90.00 90.00°
Space group P4/mmm (No. 123)
Unique sites:
Ce (0.0000, 0.0000, 0.0000) [1 per cell]
Th (0.0000, 0.5000, 0.5000) [2 per cell]
Si (0.5000, 0.5000, 0.0000) [1 per cell]



Arrangement c

DFT (GGA-PBE) results for CeTh2Si after structural relaxation.

Properties
calculated volume = 108.0 Å³ per cell
total moment = 0.52 μB per cell

Cell: 3.9339 3.9339 6.9812 Å, 90.00 90.00 90.00°
Space group P4/mmm (No. 123)
Unique sites:
Ce (0.0000, 0.0000, 0.0000) [1 per cell]
Th (0.5000, 0.5000, 0.2803) [2 per cell]
Si (0.0000, 0.0000, 0.5000) [1 per cell]



Name the least stable of them. arrangement a.